A plane-wave DFT calculation with PBE was carried out for a geometry-optimized Rb3HfAg structure.

Cell: 6.6542 6.6542 6.6542 Å, 90.00 90.00 90.00°
Closest atoms and distances in Å follow each position.
Fractional positions:
Hf 0.5000 0.5000 0.5000  12 Rb 4.71
Rb 0.0000 0.0000 0.5000  2 Ag 3.33
Rb 0.0000 0.5000 0.0000  2 Ag 3.33
Rb 0.5000 0.0000 0.0000  2 Ag 3.33
Ag 0.0000 0.0000 0.0000  6 Rb 3.33

Values from the calculation:
Formation enthalpy at 0 K: 107.0 kJ per mole of atoms
Uncorrected energy: -10.2 eV per cell
Mass density: 3.06 g/cm3
Energy relative to the lowest polymorph listed for this composition: 0 meV/atom


A plane-wave DFT calculation with PBE was carried out for a geometry-optimized CePu2US4 structure.

Cell: 3.9141 6.8423 6.8736 Å, 109.26 90.00 90.00°
Closest atoms and distances in Å follow each position.
Fractional positions:
Ce 0.0000 0.0000 0.0000  6 S 2.81-2.82
S 0.0000 0.2532 0.7495  3 Pu 2.78-2.80, 2 U 2.78, 1 Ce 2.82
S 0.5000 0.7444 0.7462  3 Pu 2.76-2.81, 1 U 2.79, 2 Ce 2.81
S 0.0000 0.7468 0.2505  3 Pu 2.78-2.80, 2 U 2.78, 1 Ce 2.82
S 0.5000 0.2556 0.2538  3 Pu 2.76-2.81, 1 U 2.79, 2 Ce 2.81
Pu 0.0000 0.5000 0.5000  6 S 2.76-2.78
Pu 0.5000 0.0000 0.5000  6 S 2.80-2.81
U 0.5000 0.5000 0.0000  6 S 2.78-2.79

Values from the calculation:
Uncorrected energy: -76.1 eV per cell
Formation energy without anion corrections: -1.713 eV/atom
Mass density: 9.50 g/cm3


Result set for spin magnetization: 3.993; 2.701 Bohr magnetons per cell, one per record in the order listed.